1.
Compound: AlTcRh
Source: Alexandria via LeMat-Bulk
Functional: PBEsol
Structure: optimized geometry

Unit cell a=4.0537 b=4.0537 c=4.0537 alpha=60.00 beta=60.00 gamma=60.00
Last column: magnetic moment on the atom in μB.
Atoms (fractional coordinates):
Tc1 0.5000 0.5000 0.5000  0.86
Rh1 0.0000 0.0000 0.0000  0.20
Al1 0.2500 0.2500 0.2500  0.00

## Properties
E_tot (eV per cell): -22.29
Space group: No. 216

---

2.
Compound: LiZn2Pt
Source: Alexandria via LeMat-Bulk
Functional: PBEsol
Structure: optimized geometry

Unit cell a=3.6626 b=3.8282 c=3.8282 alpha=90.00 beta=90.00 gamma=90.00
Atoms (fractional coordinates):
Pt1 0.5000 0.0000 0.0000
Zn1 0.0000 0.5000 0.0000
Li1 0.5000 0.5000 0.5000
Zn2 0.0000 0.0000 0.5000

## Properties
E_tot (eV per cell): -13.95
Space group: No. 123

---

3.
Compound: La3BeSb
Source: Alexandria via LeMat-Bulk
Functional: PBEsol
Structure: optimized geometry

Unit cell a=5.9094 b=5.9094 c=5.9094 alpha=90.00 beta=90.00 gamma=90.00
Atoms (fractional coordinates):
Sb1 0.0000 0.0000 0.0000
Be1 0.5000 0.5000 0.5000
La1 0.0000 0.5000 0.0000
La2 0.0000 0.0000 0.5000
La3 0.5000 0.0000 0.0000

## Properties
Space group: No. 221
ΔE_f (raw) (meV per atom): 490